Entry from Alexandria: a relaxed structure of Mg2CoIrO6 (PBE with a Hubbard U).

## Properties
- crystal system = tetragonal
- E above lowest polymorph (kJ/mol of formula units) = 238.4

POSCAR file:
```
Mg2CoIrO6
1.0
4.615 0.000 0.000
0.000 5.402 0.000
0.000 0.000 5.402
Mg O Co Ir
2 6 1 1
Cartesian
4.166 0.000 2.701
4.166 2.701 0.000
3.441 1.353 1.353
0.983 0.000 0.000
1.087 2.701 2.701
3.441 1.353 4.049
3.441 4.049 1.353
3.441 4.049 4.049
2.684 0.000 0.000
2.905 2.701 2.701
```